Below is a relaxed structure of HoTmPuO6, with properties calculated at the PBE-GGA level.

a = 5.6606 Å, b = 5.6606 Å, c = 9.4167 Å
α = 90.00°, β = 90.00°, γ = 120.00°
Closest atoms and distances in Å follow each position.
Atoms (fractional coordinates):
Ho1 0.0000 0.0000 0.0000  6 O 2.32
Ho2 0.0000 0.0000 0.5000  6 O 2.32
Tm1 0.3333 0.6667 0.2500  6 O 2.24
Tm2 0.6667 0.3333 0.7500  6 O 2.24
Pu1 0.3333 0.6667 0.7500  6 O 2.08
Pu2 0.6667 0.3333 0.2500  6 O 2.08
O1 0.0211 0.3544 0.6336  1 Pu 2.08, 1 Tm 2.24, 1 Ho 2.32
O2 0.0211 0.6667 0.8664  1 Pu 2.08, 1 Tm 2.24, 1 Ho 2.32
O3 0.3333 0.3544 0.8664  1 Pu 2.08, 1 Tm 2.24, 1 Ho 2.32
O4 0.3333 0.9789 0.6336  1 Pu 2.08, 1 Tm 2.24, 1 Ho 2.32
O5 0.3544 0.0211 0.1336  1 Pu 2.08, 1 Tm 2.24, 1 Ho 2.32
O6 0.3544 0.3333 0.3664  1 Pu 2.08, 1 Tm 2.24, 1 Ho 2.32
O7 0.6456 0.6667 0.6336  1 Pu 2.08, 1 Tm 2.24, 1 Ho 2.32
O8 0.6456 0.9789 0.8664  1 Pu 2.08, 1 Tm 2.24, 1 Ho 2.32
O9 0.6667 0.0211 0.3664  1 Pu 2.08, 1 Tm 2.24, 1 Ho 2.32
O10 0.6667 0.6456 0.1336  1 Pu 2.08, 1 Tm 2.24, 1 Ho 2.32
O11 0.9789 0.3333 0.1336  1 Pu 2.08, 1 Tm 2.24, 1 Ho 2.32
O12 0.9789 0.6456 0.3664  1 Pu 2.08, 1 Tm 2.24, 1 Ho 2.32

space-group type = P-31c (163)
DOS(E_F) = 14.82 states/eV/cell

***

Below is a relaxed structure of HoPuUO6, with properties calculated at the PBE-GGA level.

a = 5.7804 Å, b = 5.7804 Å, c = 9.4174 Å
α = 90.00°, β = 90.00°, γ = 120.00°
Closest atoms and distances in Å follow each position.
Atoms (fractional coordinates):
Ho1 0.3333 0.6667 0.2500  6 O 2.27
Ho2 0.6667 0.3333 0.7500  6 O 2.27
Pu1 0.0000 0.0000 0.0000  6 O 2.34
Pu2 0.0000 0.0000 0.5000  6 O 2.34
U1 0.3333 0.6667 0.7500  6 O 2.13
U2 0.6667 0.3333 0.2500  6 O 2.13
O1 0.0187 0.3515 0.6332  1 U 2.13, 1 Ho 2.27, 1 Pu 2.34
O2 0.0187 0.6672 0.8668  1 U 2.13, 1 Ho 2.27, 1 Pu 2.34
O3 0.3328 0.3515 0.8668  1 U 2.13, 1 Ho 2.27, 1 Pu 2.34
O4 0.3328 0.9813 0.6332  1 U 2.13, 1 Ho 2.27, 1 Pu 2.34
O5 0.3515 0.0187 0.1332  1 U 2.13, 1 Ho 2.27, 1 Pu 2.34
O6 0.3515 0.3328 0.3668  1 U 2.13, 1 Ho 2.27, 1 Pu 2.34
O7 0.6485 0.6672 0.6332  1 U 2.13, 1 Ho 2.27, 1 Pu 2.34
O8 0.6485 0.9813 0.8668  1 U 2.13, 1 Ho 2.27, 1 Pu 2.34
O9 0.6672 0.0187 0.3668  1 U 2.13, 1 Ho 2.27, 1 Pu 2.34
O10 0.6672 0.6485 0.1332  1 U 2.13, 1 Ho 2.27, 1 Pu 2.34
O11 0.9813 0.3328 0.1332  1 U 2.13, 1 Ho 2.27, 1 Pu 2.34
O12 0.9813 0.6485 0.3668  1 U 2.13, 1 Ho 2.27, 1 Pu 2.34

space-group type = P-31c (163)
DOS(E_F) = 16.85 states/eV/cell

***

Below is a relaxed structure of Ho2PuUO8, with properties calculated at the PBE-GGA level.

a = 3.7763 Å, b = 7.5476 Å, c = 5.3399 Å
α = 90.00°, β = 90.09°, γ = 90.00°
Closest atoms and distances in Å follow each position.
Atoms (fractional coordinates):
Ho1 0.0000 0.2492 0.0000  8 O 2.32-2.36
Ho2 0.0000 0.7508 0.0000  8 O 2.32-2.36
Pu1 0.5000 0.0000 0.5000  8 O 2.29-2.37
U1 0.5000 0.5000 0.5000  8 O 2.19-2.27
O1 0.0007 0.0000 0.2549  2 Pu 2.29-2.30, 2 Ho 2.32
O2 0.0008 0.5000 0.2653  2 U 2.26-2.27, 2 Ho 2.36, 1 O 2.51
O3 0.4993 0.2641 0.7398  1 U 2.19, 2 Ho 2.35, 1 Pu 2.37
O4 0.4993 0.7359 0.7398  1 U 2.19, 2 Ho 2.35, 1 Pu 2.37
O5 0.5007 0.2641 0.2602  1 U 2.19, 2 Ho 2.35, 1 Pu 2.37
O6 0.5007 0.7359 0.2602  1 U 2.19, 2 Ho 2.35, 1 Pu 2.37
O7 0.9993 0.0000 0.7451  2 Pu 2.29-2.30, 2 Ho 2.32
O8 0.9992 0.5000 0.7347  2 U 2.26-2.27, 2 Ho 2.36, 1 O 2.51

space-group type = P2/m (10)
DOS(E_F) = 7.74 states/eV/cell

***

Below is a relaxed structure of YHoPuO6, with properties calculated at the PBE-GGA level.

a = 5.7087 Å, b = 5.7087 Å, c = 9.4477 Å
α = 90.00°, β = 90.00°, γ = 120.00°
Closest atoms and distances in Å follow each position.
Atoms (fractional coordinates):
Y1 0.0000 0.0000 0.0000  6 O 2.34
Y2 0.0000 0.0000 0.5000  6 O 2.34
Ho1 0.3333 0.6667 0.2500  6 O 2.26
Ho2 0.6667 0.3333 0.7500  6 O 2.26
Pu1 0.3333 0.6667 0.7500  6 O 2.08
Pu2 0.6667 0.3333 0.2500  6 O 2.08
O1 0.0245 0.3567 0.6338  1 Pu 2.08, 1 Ho 2.26
O2 0.0245 0.6678 0.8662  1 Pu 2.08, 1 Ho 2.26
O3 0.3322 0.3567 0.8662  1 Pu 2.08, 1 Ho 2.26
O4 0.3322 0.9755 0.6338  1 Pu 2.08, 1 Ho 2.26
O5 0.3567 0.0245 0.1338  1 Pu 2.08, 1 Ho 2.26
O6 0.3567 0.3322 0.3662  1 Pu 2.08, 1 Ho 2.26
O7 0.6433 0.6678 0.6338  1 Pu 2.08, 1 Ho 2.26
O8 0.6433 0.9755 0.8662  1 Pu 2.08, 1 Ho 2.26
O9 0.6678 0.0245 0.3662  1 Pu 2.08, 1 Ho 2.26
O10 0.6678 0.6433 0.1338  1 Pu 2.08, 1 Ho 2.26
O11 0.9755 0.3322 0.1338  1 Pu 2.08, 1 Ho 2.26
O12 0.9755 0.6433 0.3662  1 Pu 2.08, 1 Ho 2.26

space-group type = P-31c (163)
DOS(E_F) = 14.40 states/eV/cell

***

Below is a relaxed structure of Y2HoPuO8, with properties calculated at the PBE-GGA level.

a = 5.0967 Å, b = 5.0967 Å, c = 6.9560 Å
α = 90.00°, β = 90.00°, γ = 91.12°
Closest atoms and distances in Å follow each position.
Atoms (fractional coordinates):
Y1 0.0000 0.0000 0.2406  6 O 2.17-2.39
Y2 0.0000 0.0000 0.7594  6 O 2.17-2.39
Ho1 0.5000 0.5000 0.0000  6 O 2.19-2.34
Pu1 0.5000 0.5000 0.5000  6 O 2.00-2.04
O1 0.1937 0.1937 0.0000  2 Y 2.17, 1 Ho 2.19
O2 0.2200 0.2200 0.5000  1 Pu 2.00
O3 0.3173 0.6827 0.2775  1 Pu 2.04
O4 0.3173 0.6827 0.7225  1 Pu 2.04
O5 0.6827 0.3173 0.2775  1 Pu 2.04
O6 0.6827 0.3173 0.7225  1 Pu 2.04
O7 0.7800 0.7800 0.5000  1 Pu 2.00
O8 0.8063 0.8063 0.0000  2 Y 2.17, 1 Ho 2.19

space-group type = Cmmm (65)

***

Below is a relaxed structure of HoPuZnO6, with properties calculated at the PBE-GGA level.

a = 5.6042 Å, b = 5.6042 Å, c = 4.4927 Å
α = 90.00°, β = 90.00°, γ = 120.00°
Closest atoms and distances in Å follow each position.
Atoms (fractional coordinates):
Ho1 0.0000 0.0000 0.0000  6 O 2.24
Pu1 0.3333 0.6667 0.0000  6 O 2.03
Zn1 0.6667 0.3333 0.5000  6 O 2.25
O1 0.0229 0.3630 0.2380  1 Pu 2.03, 1 Ho 2.24, 1 Zn 2.25
O2 0.0229 0.6599 0.7620  1 Pu 2.03, 1 Ho 2.24, 1 Zn 2.25
O3 0.3401 0.3630 0.7620  1 Pu 2.03, 1 Ho 2.24, 1 Zn 2.25
O4 0.3401 0.9771 0.2380  1 Pu 2.03, 1 Ho 2.24, 1 Zn 2.25
O5 0.6370 0.6599 0.2380  1 Pu 2.03, 1 Ho 2.24, 1 Zn 2.25
O6 0.6370 0.9771 0.7620  1 Pu 2.03, 1 Ho 2.24, 1 Zn 2.25

space-group type = P312 (149)
DOS(E_F) = 0.10 states/eV/cell

***

Below is a relaxed structure of Rb5HoO4, with properties calculated at the PBE-GGA level.

a = 8.5347 Å, b = 9.1404 Å, c = 6.6550 Å
α = 90.00°, β = 90.00°, γ = 90.00°
Closest atoms and distances in Å follow each position.
Atoms (fractional coordinates):
Rb1 0.0132 0.0611 0.2413  4 O 2.83-3.00
Rb2 0.0132 0.4389 0.2413  4 O 2.83-3.00
Rb3 0.2500 0.7500 0.3269  4 O 2.81-3.07
Rb4 0.4868 0.0611 0.2413  4 O 2.83-3.00
Rb5 0.4868 0.4389 0.2413  4 O 2.83-3.00
Rb6 0.5132 0.5611 0.7587  4 O 2.83-3.00
Rb7 0.5132 0.9389 0.7587  4 O 2.83-3.00
Rb8 0.7500 0.2500 0.6731  4 O 2.81-3.07
Rb9 0.9868 0.5611 0.7587  4 O 2.83-3.00
Rb10 0.9868 0.9389 0.7587  4 O 2.83-3.00
Ho1 0.2500 0.2500 0.7136  4 O 2.17-2.18
Ho2 0.7500 0.7500 0.2864  4 O 2.17-2.18
O1 0.0346 0.2500 0.8858  1 Ho 2.17
O2 0.2500 0.0490 0.5380  1 Ho 2.18
O3 0.2500 0.4510 0.5380  1 Ho 2.18
O4 0.4654 0.2500 0.8858  1 Ho 2.17
O5 0.5346 0.7500 0.1142  1 Ho 2.17
O6 0.7500 0.5490 0.4620  1 Ho 2.18
O7 0.7500 0.9510 0.4620  1 Ho 2.18
O8 0.9654 0.7500 0.1142  1 Ho 2.17

excess energy over the best structure of this formula in the dataset = 0 meV per atom
space-group type = Pmmn (59)
DOS(E_F) = 0.00 states/eV/cell

***

Below is a relaxed structure of Rb5HoO4, with properties calculated at the PBE-GGA level.

a = 9.1378 Å, b = 9.1378 Å, c = 7.6630 Å
α = 103.93°, β = 103.93°, γ = 23.56°
Closest atoms and distances in Å follow each position.
Atoms (fractional coordinates):
Rb1 0.0000 0.0000 0.0000  4 O 2.94
Rb2 0.3416 0.3416 0.6374  3 O 2.62-2.74
Rb3 0.3477 0.3477 0.1779  3 O 2.59-2.66
Rb4 0.6523 0.6523 0.8221  3 O 2.59-2.66
Rb5 0.6584 0.6584 0.3626  3 O 2.62-2.74
Ho1 0.0000 0.0000 0.5000  6 O 2.30-2.43
O1 0.1329 0.1329 0.5814  1 Ho 2.30
O2 0.4994 0.4994 0.7029  2 Ho 2.43, 1 Rb 2.66
O3 0.5006 0.5006 0.2971  2 Ho 2.43, 1 Rb 2.66
O4 0.8671 0.8671 0.4186  1 Ho 2.30

excess energy over the best structure of this formula in the dataset = 111 meV per atom
space-group type = C2/m (12)

***

Ordered raw formation energy results: -3.0883; -3.2021; -3.3646; -3.0597; -3.0800; -2.2927; -1.6522; -1.5416; unit eV per atom.